# HoHfCd2, relaxed, DFT PBE
# formation enthalpy at 0 K: -0.085 eV/atom
# energy relative to the lowest polymorph listed for this composition: 0.000 eV/atom
# spin magnetization: 0.0 μB/cell
data_HoHfCd2
_cell_length_a 3.594
_cell_length_b 3.594
_cell_length_c 7.244
_cell_angle_alpha 90.00
_cell_angle_beta 90.00
_cell_angle_gamma 90.00
_symmetry_space_group_name_H-M 'P 4/m m m'
_symmetry_Int_Tables_number 123
_symmetry_space_group_name_Hall '-P 4 2'
loop_
_atom_site_label
_atom_site_type_symbol
_atom_site_fract_x
_atom_site_fract_y
_atom_site_fract_z
Ho1 Ho 0.000 0.000 0.000
Hf1 Hf 0.000 0.000 0.500
Cd1 Cd 0.500 0.500 0.269

# CeNd2Pd9, relaxed, DFT PBE
# formation enthalpy at 0 K: -0.802 eV/atom
# spin magnetization: 0.0 μB/cell
data_CeNd2Pd9
_cell_length_a 4.181
_cell_length_b 4.181
_cell_length_c 12.566
_cell_angle_alpha 90.00
_cell_angle_beta 90.00
_cell_angle_gamma 90.00
_symmetry_space_group_name_H-M 'P 4/m m m'
_symmetry_Int_Tables_number 123
_symmetry_space_group_name_Hall '-P 4 2'
loop_
_atom_site_label
_atom_site_type_symbol
_atom_site_fract_x
_atom_site_fract_y
_atom_site_fract_z
Ce1 Ce 0.000 0.000 0.000
Nd1 Nd 0.000 0.000 0.333
Pd1 Pd 0.000 0.500 0.160
Pd2 Pd 0.000 0.500 0.500
Pd3 Pd 0.500 0.500 0.000
Pd4 Pd 0.500 0.500 0.331

# Na8ZnHg6, relaxed, DFT PBE
# formation enthalpy at 0 K: -0.135 eV/atom
# energy relative to the lowest polymorph listed for this composition: 0.015 eV/atom
# spin magnetization: 0.0 μB/cell
data_Na8ZnHg6
_cell_length_a 8.9441
_cell_length_b 8.9441
_cell_length_c 18.6789
_cell_angle_alpha 90.00
_cell_angle_beta 90.00
_cell_angle_gamma 120.00
_symmetry_space_group_name_H-M 'R -3'
_symmetry_Int_Tables_number 148
_symmetry_space_group_name_Hall '-R 3'
loop_
_atom_site_label
_atom_site_type_symbol
_atom_site_fract_x
_atom_site_fract_y
_atom_site_fract_z
Na1 Na 0.0000 0.0000 0.1271
Na2 Na 0.0264 0.7606 0.6270
Zn1 Zn 0.0000 0.0000 0.5000
Hg1 Hg 0.0067 0.3153 0.2053

# EuYRh4, relaxed, DFT PBE
# formation enthalpy at 0 K: -0.591 eV/atom
# spin magnetization: 27.4 μB/cell
data_EuYRh4
_cell_length_a 7.604
_cell_length_b 7.604
_cell_length_c 7.604
_cell_angle_alpha 90.00
_cell_angle_beta 90.00
_cell_angle_gamma 90.00
_symmetry_space_group_name_H-M 'F -4 3 m'
_symmetry_Int_Tables_number 216
_symmetry_space_group_name_Hall 'F -4 2 3'
loop_
_atom_site_label
_atom_site_type_symbol
_atom_site_fract_x
_atom_site_fract_y
_atom_site_fract_z
Eu1 Eu 0.000 0.000 0.000
Y1 Y 0.250 0.250 0.750
Rh1 Rh 0.125 0.125 0.375

# SmPaTcC3, relaxed, DFT PBE
# formation enthalpy at 0 K: -0.044 eV/atom
# spin magnetization: 0.0 μB/cell
data_SmPaTcC3
_cell_length_a 7.410
_cell_length_b 3.633
_cell_length_c 7.744
_cell_angle_alpha 90.00
_cell_angle_beta 94.03
_cell_angle_gamma 90.00
_symmetry_space_group_name_H-M 'P 1 21/m 1'
_symmetry_Int_Tables_number 11
_symmetry_space_group_name_Hall '-P 2yb'
loop_
_atom_site_label
_atom_site_type_symbol
_atom_site_fract_x
_atom_site_fract_y
_atom_site_fract_z
Sm1 Sm 0.155 0.250 0.169
Pa1 Pa 0.373 0.750 0.831
Tc1 Tc 0.098 0.250 0.594
C1 C 0.133 0.250 0.845
C2 C 0.165 0.750 0.511
C3 C 0.411 0.750 0.127

# LiCa2Nd, relaxed, DFT PBE
# formation enthalpy at 0 K: 0.224 eV/atom
# energy relative to the lowest polymorph listed for this composition: 0.146 eV/atom
# spin magnetization: 0.0 μB/cell
data_LiCa2Nd
_cell_length_a 3.6046
_cell_length_b 3.6046
_cell_length_c 38.2181
_cell_angle_alpha 90.00
_cell_angle_beta 90.00
_cell_angle_gamma 120.00
_symmetry_space_group_name_H-M 'R -3 m'
_symmetry_Int_Tables_number 166
_symmetry_space_group_name_Hall '-R 3 2"'
loop_
_atom_site_label
_atom_site_type_symbol
_atom_site_fract_x
_atom_site_fract_y
_atom_site_fract_z
Li1 Li 0.0000 0.0000 0.0000
Ca1 Ca 0.0000 0.0000 0.4073
Nd1 Nd 0.0000 0.0000 0.5000

# KLi2InHg4, relaxed, DFT PBE
# formation enthalpy at 0 K: -0.232 eV/atom
# spin magnetization: 0.0 μB/cell
data_KLi2InHg4
_cell_length_a 4.7596
_cell_length_b 4.7596
_cell_length_c 32.9336
_cell_angle_alpha 90.00
_cell_angle_beta 90.00
_cell_angle_gamma 120.00
_symmetry_space_group_name_H-M 'R -3 m'
_symmetry_Int_Tables_number 166
_symmetry_space_group_name_Hall '-R 3 2"'
loop_
_atom_site_label
_atom_site_type_symbol
_atom_site_fract_x
_atom_site_fract_y
_atom_site_fract_z
K1 K 0.0000 0.0000 0.0000
Li1 Li 0.0000 0.0000 0.2219
In1 In 0.0000 0.0000 0.5000
Hg1 Hg 0.0000 0.0000 0.1246
Hg2 Hg 0.0000 0.0000 0.4001

# YNpTc, relaxed, DFT PBE
# formation enthalpy at 0 K: 0.322 eV/atom
# spin magnetization: 54.8 μB/cell
data_YNpTc
_cell_length_a 3.218
_cell_length_b 12.147
_cell_length_c 28.142
_cell_angle_alpha 90.00
_cell_angle_beta 90.00
_cell_angle_gamma 90.00
_symmetry_space_group_name_H-M 'F d d d'
_symmetry_Int_Tables_number 70
loop_
_symmetry_equiv_pos_as_xyz
'x,y,z'
'-x,-y,-z'
'-x+1/4,-y+1/4,z'
'x+1/4,y+1/4,-z'
'x,-y+1/4,-z+1/4'
'-x,y+1/4,z+1/4'
'-x+1/4,y,-z+1/4'
'x+1/4,-y,z+1/4'
'x,y+1/2,z+1/2'
'-x,-y+1/2,-z+1/2'
'-x+1/4,-y+3/4,z+1/2'
'x+1/4,y+3/4,-z+1/2'
'x,-y+3/4,-z+3/4'
'-x,y+3/4,z+3/4'
'-x+1/4,y+1/2,-z+3/4'
'x+1/4,-y+1/2,z+3/4'
'x+1/2,y,z+1/2'
'-x+1/2,-y,-z+1/2'
'-x+3/4,-y+1/4,z+1/2'
'x+3/4,y+1/4,-z+1/2'
'x+1/2,-y+1/4,-z+3/4'
'-x+1/2,y+1/4,z+3/4'
'-x+3/4,y,-z+3/4'
'x+3/4,-y,z+3/4'
'x+1/2,y+1/2,z'
'-x+1/2,-y+1/2,-z'
'-x+3/4,-y+3/4,z'
'x+3/4,y+3/4,-z'
'x+1/2,-y+3/4,-z+1/4'
'-x+1/2,y+3/4,z+1/4'
'-x+3/4,y+1/2,-z+1/4'
'x+3/4,-y+1/2,z+1/4'
loop_
_atom_site_label
_atom_site_type_symbol
_atom_site_fract_x
_atom_site_fract_y
_atom_site_fract_z
Y1 Y 0.125 0.251 0.125
Np1 Np 0.125 0.125 0.273
Tc1 Tc 0.125 0.125 0.548